# Al2Ga2Sb, optimized geometry, DFT PBE
data_Al2Ga2Sb
_symmetry_space_group_name_H-M 'P 1'
_symmetry_Int_Tables_number 1
_cell_length_a 4.064
_cell_length_b 4.064
_cell_length_c 12.382
_cell_angle_alpha 90.00
_cell_angle_beta 90.00
_cell_angle_gamma 90.00
loop_
_symmetry_equiv_pos_as_xyz
'x,y,z'
loop_
_atom_site_label
_atom_site_type_symbol
_atom_site_fract_x
_atom_site_fract_y
_atom_site_fract_z
Al1 Al 0.000 0.500 0.250
Al2 Al 0.000 0.500 0.750
Al3 Al 0.500 0.000 0.250
Al4 Al 0.500 0.000 0.750
Ga1 Ga 0.000 0.000 0.105
Ga2 Ga 0.000 0.000 0.895
Ga3 Ga 0.500 0.500 0.395
Ga4 Ga 0.500 0.500 0.605
Sb1 Sb 0.000 0.000 0.500
Sb2 Sb 0.500 0.500 0.000
# - Spin magnetization: 0.0 μB/cell
# - Formation energy from raw total energies: 0.706 eV per formula unit

=====

# Al4GaSb5, optimized geometry, DFT PBE
data_Al4GaSb5
_symmetry_space_group_name_H-M 'P 1'
_symmetry_Int_Tables_number 1
_cell_length_a 11.655
_cell_length_b 11.655
_cell_length_c 11.655
_cell_angle_alpha 158.22
_cell_angle_beta 38.21
_cell_angle_gamma 149.00
loop_
_symmetry_equiv_pos_as_xyz
'x,y,z'
loop_
_atom_site_label
_atom_site_type_symbol
_atom_site_fract_x
_atom_site_fract_y
_atom_site_fract_z
Al1 Al 0.100 0.000 0.100
Al2 Al 0.300 0.000 0.300
Al3 Al 0.700 0.000 0.700
Al4 Al 0.900 0.000 0.900
Ga1 Ga 0.500 0.000 0.500
Sb1 Sb 0.150 0.750 0.400
Sb2 Sb 0.350 0.750 0.600
Sb3 Sb 0.550 0.750 0.800
Sb4 Sb 0.749 0.749 0.000
Sb5 Sb 0.950 0.750 0.200
# - Spin magnetization: 0.0 μB/cell
# - Formation energy from raw total energies: -1.649 eV per formula unit